(1)
Below is crystalline Cr4O at its relaxed geometry, with properties calculated at the PBE+U level.

```
Cr4O
1.0
4.3663 0.0000 0.0000
0.0000 4.3663 0.0000
0.0000 0.0000 4.3663
Cr O
4 1
direct
0.0000 0.0000 0.0000
0.0000 0.5000 0.5000
0.5000 0.0000 0.5000
0.5000 0.5000 0.0000
0.5000 0.5000 0.5000
```

Total DFT energy (no corrections) ... -33.995 eV per formula unit
Space group ... No. 221
Fermi-level density of states ... 3.39 states/eV/f.u.

(2)
Below is crystalline CrO3 at its relaxed geometry, with properties calculated at the PBE+U level.

```
CrO3
1.0
3.0985 0.0000 0.0000
0.0000 8.4830 0.0000
0.0000 0.0000 5.2012
Cr O
2 6
direct
0.0000 0.0000 0.0000
0.0000 0.5000 0.5000
0.0000 0.1505 0.8170
0.0000 0.3495 0.3170
0.0000 0.6505 0.3170
0.0000 0.8495 0.8170
0.5000 0.0000 0.1711
0.5000 0.5000 0.6711
```

Space group ... No. 38
Energy relative to the lowest polymorph listed for this composition ... 52 meV/atom
Fermi-level density of states ... 0.00 states/eV/f.u.

(3)
Below is crystalline Cr3O4 at its relaxed geometry, with properties calculated at the PBE+U level.

```
Cr3O4
1.0
11.2237 0.0000 0.0000
0.0000 3.0179 0.0000
-2.0255 0.0000 4.7284
Cr O
6 8
direct
0.0000 0.0000 0.0000
0.2309 0.5000 0.7365
0.2691 0.0000 0.2635
0.5000 0.5000 0.0000
0.7309 0.0000 0.7365
0.7691 0.5000 0.2635
0.1428 0.0000 0.8457
0.1501 0.5000 0.3098
0.3499 0.0000 0.6902
0.3572 0.5000 0.1543
0.6428 0.5000 0.8457
0.6501 0.0000 0.3098
0.8499 0.5000 0.6902
0.8572 0.0000 0.1543
```

Total DFT energy (no corrections) ... -54.859 eV per formula unit
Space group ... No. 12

(4)
Below is crystalline CrO3 at its relaxed geometry, with properties calculated at the PBE+U level.

```
CrO3
1.0
3.6795 0.0000 0.0000
0.0000 3.6795 0.0000
0.0000 0.0000 3.6795
Cr O
1 3
direct
0.0000 0.0000 0.0000
0.0000 0.0000 0.5000
0.0000 0.5000 0.0000
0.5000 0.0000 0.0000
```

Space group ... No. 221
Energy relative to the lowest polymorph listed for this composition ... 320 meV/atom
Fermi-level density of states ... 3.00 states/eV/f.u.

(5)
Below is crystalline CrO3 at its relaxed geometry, with properties calculated at the PBE+U level.

```
CrO3
1.0
5.7614 0.0000 0.0000
0.0000 8.5083 0.0000
0.0000 0.0000 5.4648
Cr O
4 12
direct
0.2470 0.2500 0.0714
0.2530 0.7500 0.5714
0.7470 0.2500 0.4286
0.7530 0.7500 0.9286
0.0253 0.2500 0.2898
0.2238 0.0987 0.9015
0.2238 0.4013 0.9015
0.2762 0.5987 0.4015
0.2762 0.9013 0.4015
0.4747 0.7500 0.7898
0.5253 0.2500 0.2102
0.7238 0.0987 0.5985
0.7238 0.4013 0.5985
0.7762 0.5987 0.0985
0.7762 0.9013 0.0985
0.9747 0.7500 0.7102
```

Space group ... No. 62
Energy relative to the lowest polymorph listed for this composition ... 24 meV/atom

(6)
Below is crystalline Cr6O11 at its relaxed geometry, with properties calculated at the PBE+U level.

```
Cr6O11
1.0
5.4495 0.0000 0.0000
2.1467 6.7317 0.0000
1.4666 -0.4247 9.4602
Cr O
12 22
direct
0.1703 0.3088 0.0608
0.1808 0.8092 0.0588
0.2291 0.3593 0.4137
0.2323 0.8606 0.4130
0.3087 0.4309 0.7596
0.3126 0.9253 0.7622
0.6874 0.0747 0.2378
0.6913 0.5691 0.2404
0.7677 0.1394 0.5870
0.7709 0.6407 0.5863
0.8192 0.1908 0.9412
0.8297 0.6912 0.9392
0.0106 0.0934 0.1118
0.0531 0.4250 0.2503
0.1009 0.6401 0.4739
0.1238 0.9845 0.6039
0.1795 0.2082 0.8532
0.2147 0.5451 0.9631
0.3432 0.7369 0.2218
0.3585 0.0787 0.3515
0.4081 0.2995 0.5742
0.4401 0.6436 0.6987
0.4749 0.8373 0.9311
0.5251 0.1627 0.0689
0.5599 0.3564 0.3013
0.5919 0.7005 0.4258
0.6415 0.9213 0.6485
0.6568 0.2631 0.7782
0.7853 0.4549 0.0369
0.8205 0.7918 0.1468
0.8762 0.0155 0.3961
0.8991 0.3599 0.5261
0.9469 0.5750 0.7497
0.9894 0.9066 0.8882
```

Total DFT energy (no corrections) ... -128.467 eV per formula unit
Space group ... No. 2
Fermi-level density of states ... 3.97 states/eV/f.u.

(7)
Below is crystalline CrO3 at its relaxed geometry, with properties calculated at the PBE+U level.

```
CrO3
1.0
5.3011 -4.9338 0.0000
5.3011 4.9338 0.0000
-2.0237 0.0000 5.4603
Cr O
4 12
direct
0.1356 0.3042 0.2387
0.3042 0.1356 0.7387
0.6958 0.8644 0.2613
0.8644 0.6958 0.7613
0.0732 0.6031 0.8016
0.1600 0.1636 0.4536
0.1636 0.1600 0.9536
0.2886 0.4697 0.3393
0.3969 0.9268 0.6984
0.4697 0.2886 0.8393
0.5303 0.7114 0.1607
0.6031 0.0732 0.3016
0.7114 0.5303 0.6607
0.8364 0.8400 0.0464
0.8400 0.8364 0.5464
0.9268 0.3969 0.1984
```

Space group ... No. 15
Energy relative to the lowest polymorph listed for this composition ... 6 meV/atom
Fermi-level density of states ... 0.00 states/eV/f.u.

(8)
Below is crystalline Cr3O at its relaxed geometry, with properties calculated at the PBE+U level.

```
Cr3O
1.0
5.2071 0.0000 0.0000
0.0000 5.2071 0.0000
0.0000 0.0000 5.2071
Cr O
6 2
direct
0.0000 0.2500 0.5000
0.0000 0.7500 0.5000
0.2500 0.5000 0.0000
0.5000 0.0000 0.2500
0.5000 0.0000 0.7500
0.7500 0.5000 0.0000
0.0000 0.0000 0.0000
0.5000 0.5000 0.5000
```

Space group ... No. 223
Energy relative to the lowest polymorph listed for this composition ... 796 meV/atom
Fermi-level density of states ... 1.59 states/eV/f.u.

(9)
Below is crystalline CrO3 at its relaxed geometry, with properties calculated at the PBE+U level.

```
CrO3
1.0
5.7875 0.0000 0.0000
-2.8937 5.0121 0.0000
0.0000 0.0000 11.8087
Cr O
6 18
direct
0.0000 0.3438 0.0000
0.0000 0.6562 0.5000
0.3438 0.0000 0.0000
0.3438 0.3438 0.5000
0.6562 0.0000 0.5000
0.6562 0.6562 0.0000
0.0000 0.0000 0.4616
0.0000 0.0000 0.9616
0.0000 0.2122 0.1412
0.0000 0.3726 0.8620
0.0000 0.6274 0.3620
0.0000 0.7878 0.6412
0.2122 0.0000 0.1412
0.2122 0.2122 0.6412
0.3333 0.6667 0.0318
0.3333 0.6667 0.5318
0.3726 0.0000 0.8620
0.3726 0.3726 0.3620
0.6274 0.0000 0.3620
0.6274 0.6274 0.8620
0.6667 0.3333 0.0318
0.6667 0.3333 0.5318
0.7878 0.0000 0.6412
0.7878 0.7878 0.1412
```

Space group ... No. 185
Energy relative to the lowest polymorph listed for this composition ... 678 meV/atom
Fermi-level density of states ... 0.25 states/eV/f.u.

(10)
Below is crystalline Cr2O5 at its relaxed geometry, with properties calculated at the PBE+U level.

```
Cr2O5
1.0
3.7169 0.0000 0.0000
0.0000 10.7678 0.0000
0.0000 0.0000 5.2589
Cr O
4 10
direct
0.2500 0.0954 0.1098
0.2500 0.4046 0.1098
0.7500 0.5954 0.8902
0.7500 0.9046 0.8902
0.2500 0.0970 0.4106
0.2500 0.2500 0.9782
0.2500 0.4030 0.4106
0.2500 0.5688 0.9753
0.2500 0.9312 0.9753
0.7500 0.0688 0.0247
0.7500 0.4312 0.0247
0.7500 0.5970 0.5894
0.7500 0.7500 0.0218
0.7500 0.9030 0.5894
```

Space group ... No. 59
Energy relative to the lowest polymorph listed for this composition ... 44 meV/atom

(11)
Below is crystalline CrO3 at its relaxed geometry, with properties calculated at the PBE+U level.

```
CrO3
1.0
3.1303 0.0000 0.0000
0.0000 6.4958 0.0000
0.0000 0.0000 6.1573
Cr O
2 6
direct
0.0000 0.2246 0.0000
0.0000 0.7754 0.5000
0.0000 0.0124 0.4315
0.0000 0.3526 0.7794
0.0000 0.6474 0.2794
0.0000 0.9876 0.9315
0.5000 0.2757 0.1285
0.5000 0.7243 0.6285
```

Space group ... No. 26
Energy relative to the lowest polymorph listed for this composition ... 56 meV/atom
Fermi-level density of states ... 0.00 states/eV/f.u.

(12)
Below is crystalline Cr9O13 at its relaxed geometry, with properties calculated at the PBE+U level.

```
Cr9O13
1.0
5.0161 -1.5096 0.0000
5.0161 1.5096 0.0000
-2.7004 0.0000 16.7148
Cr O
9 13
direct
0.0000 0.0000 0.0000
0.1456 0.1456 0.5420
0.2478 0.2478 0.9171
0.4417 0.4417 0.6326
0.4923 0.4923 0.8272
0.5077 0.5077 0.1728
0.5583 0.5583 0.3674
0.7522 0.7522 0.0829
0.8544 0.8544 0.4580
0.0637 0.0637 0.6376
0.1122 0.1122 0.8231
0.1275 0.1275 0.1083
0.2168 0.2168 0.4324
0.3601 0.3601 0.0367
0.3859 0.3859 0.7296
0.5000 0.5000 0.5000
0.6141 0.6141 0.2704
0.6399 0.6399 0.9633
0.7832 0.7832 0.5676
0.8725 0.8725 0.8917
0.8878 0.8878 0.1769
0.9363 0.9363 0.3624
```

Total DFT energy (no corrections) ... -168.278 eV per formula unit
Space group ... No. 12